First-principles (PBE) data for an optimized crystal structure of ZnPbAu2, as listed in Alexandria.

Lattice parameters (Å, degrees): 5.3313 5.3313 5.3313 132.14 132.14 70.01
Sites, in units of the cell vectors:
Zn 0.0000 0.0000 0.0000
Pb 0.7500 0.2500 0.5000
Au 0.2500 0.7500 0.5000
Au 0.5000 0.5000 0.0000

Results
For the polymorph energy (0 for the lowest one), the calculation gives 16.6 kJ per mole of atoms. As for the space group: I-4m2 (119). As for the uncorrected energy: -2.84 eV per atom. The formation energy is 0.039 eV per atom.

First-principles (PBE) data for an optimized crystal structure of ZnPb2Au6, as listed in Alexandria.

Lattice parameters (Å, degrees): 5.8495 5.8495 6.4079 90.00 90.00 120.00
Sites, in units of the cell vectors:
Zn 0.0000 0.0000 0.0000
Pb 0.3333 0.6667 0.1228
Pb 0.6667 0.3333 0.8772
Au 0.1707 0.3414 0.6825
Au 0.1707 0.8293 0.6825
Au 0.3414 0.1707 0.3175
Au 0.6586 0.8293 0.6825
Au 0.8293 0.1707 0.3175
Au 0.8293 0.6586 0.3175

Results
As for the space group: P-3m1 (164). As for the uncorrected energy: -3.23 eV per atom. The formation energy is -0.075 eV per atom.